Run a
## Zr2NpBe (GGA-PBE)

Data for crystalline Zr2NpBe at its relaxed geometry.

CIF file:
```
data_Zr2NpBe
_chemical_formula_sum 'Zr2 Np1 Be1'
_cell_length_a 3.0976
_cell_length_b 3.0976
_cell_length_c 8.1574
_cell_angle_alpha 90.00
_cell_angle_beta 90.00
_cell_angle_gamma 90.00
_space_group_name_H-M_alt 'P 4/m m m'
_space_group_IT_number 123
_space_group_name_Hall '-P 4 2'
loop_
_atom_site_label
_atom_site_fract_x
_atom_site_fract_y
_atom_site_fract_z
Zr1 0.0000 0.0000 0.2029
Np1 0.5000 0.5000 0.5000
Be1 0.5000 0.5000 0.0000
```



Run b
## Zr2NpBe (GGA-PBE)

Data for crystalline Zr2NpBe at its relaxed geometry.

CIF file:
```
data_Zr2NpBe
_chemical_formula_sum 'Zr6 Np3 Be3'
_cell_length_a 3.0591
_cell_length_b 3.0591
_cell_length_c 30.4169
_cell_angle_alpha 90.00
_cell_angle_beta 90.00
_cell_angle_gamma 120.00
_space_group_name_H-M_alt 'R -3 m'
_space_group_IT_number 166
_space_group_name_Hall '-R 3 2"'
loop_
_atom_site_label
_atom_site_fract_x
_atom_site_fract_y
_atom_site_fract_z
Zr1 0.0000 0.0000 0.1026
Np1 0.0000 0.0000 0.0000
Be1 0.0000 0.0000 0.5000
```



Which is most stable, and by how much? run a, by 0.315 eV/atom.